Entry from the Alexandria database: a relaxed SrPrNiO4 crystal (PBE+U).

Cell: 3.848 3.848 6.786 Å, 106.47 106.47 90.00°
Atoms (fractional coordinates):
Sr  0.641  0.641  0.282
Pr  0.362  0.362  0.724
Ni  0.003  0.003  0.007
O  0.993  0.493  0.985
O  0.493  0.993  0.985
O  0.837  0.837  0.675
O  0.171  0.171  0.343

Computed properties:
Its space group is I4mm. The calculation puts the volume at 92 Å³/cell. For the magnetic moment, the calculation gives 1.0 μB per formula unit. The total energy is -6.4175 eV/atom.